1:
The following is a DFT calculation (PBE) of crystalline KBeAg at its relaxed geometry.

Output
Crystal system: cubic

Structure (CIF):
```
data_KBeAg
_chemical_formula_sum 'K4 Be4 Ag4'
_space_group_name_H-M_alt 'F -4 3 m'
_space_group_IT_number 216
_space_group_name_Hall 'F -4 2 3'
_cell_length_a 6.860
_cell_length_b 6.860
_cell_length_c 6.860
_cell_angle_alpha 90.00
_cell_angle_beta 90.00
_cell_angle_gamma 90.00
loop_
_atom_site_label
_atom_site_fract_x
_atom_site_fract_y
_atom_site_fract_z
K1 0.000 0.000 0.000
Be1 0.250 0.250 0.750
Ag1 0.000 0.000 0.500
```

---

2:
The following is a DFT calculation (PBE) of crystalline KBeAg at its relaxed geometry.

Output
Crystal system: cubic

Structure (CIF):
```
data_KBeAg
_chemical_formula_sum 'K4 Be4 Ag4'
_space_group_name_H-M_alt 'F -4 3 m'
_space_group_IT_number 216
_space_group_name_Hall 'F -4 2 3'
_cell_length_a 7.449
_cell_length_b 7.449
_cell_length_c 7.449
_cell_angle_alpha 90.00
_cell_angle_beta 90.00
_cell_angle_gamma 90.00
loop_
_atom_site_label
_atom_site_fract_x
_atom_site_fract_y
_atom_site_fract_z
K1 0.000 0.000 0.000
Be1 0.250 0.250 0.250
Ag1 0.250 0.250 0.750
```

---

Relative energy table, unit meV per atom: 1 0; 2 372

---

1:
The following is a DFT calculation (PBE) of crystalline LaBeAg at its relaxed geometry.

Output
Crystal system: cubic

Structure (CIF):
```
data_LaBeAg
_chemical_formula_sum 'La4 Be4 Ag4'
_space_group_name_H-M_alt 'F -4 3 m'
_space_group_IT_number 216
_space_group_name_Hall 'F -4 2 3'
_cell_length_a 6.707
_cell_length_b 6.707
_cell_length_c 6.707
_cell_angle_alpha 90.00
_cell_angle_beta 90.00
_cell_angle_gamma 90.00
loop_
_atom_site_label
_atom_site_fract_x
_atom_site_fract_y
_atom_site_fract_z
La1 0.000 0.000 0.000
Be1 0.000 0.000 0.500
Ag1 0.250 0.250 0.750
```

---

2:
The following is a DFT calculation (PBE) of crystalline LaBeAg at its relaxed geometry.

Output
Crystal system: cubic

Structure (CIF):
```
data_LaBeAg
_chemical_formula_sum 'La4 Be4 Ag4'
_space_group_name_H-M_alt 'F -4 3 m'
_space_group_IT_number 216
_space_group_name_Hall 'F -4 2 3'
_cell_length_a 6.912
_cell_length_b 6.912
_cell_length_c 6.912
_cell_angle_alpha 90.00
_cell_angle_beta 90.00
_cell_angle_gamma 90.00
loop_
_atom_site_label
_atom_site_fract_x
_atom_site_fract_y
_atom_site_fract_z
La1 0.000 0.000 0.000
Be1 0.250 0.250 0.250
Ag1 0.250 0.250 0.750
```

---

3:
The following is a DFT calculation (PBE) of crystalline LaBeAg at its relaxed geometry.

Output
Crystal system: cubic

Structure (CIF):
```
data_LaBeAg
_chemical_formula_sum 'La4 Be4 Ag4'
_space_group_name_H-M_alt 'F -4 3 m'
_space_group_IT_number 216
_space_group_name_Hall 'F -4 2 3'
_cell_length_a 6.545
_cell_length_b 6.545
_cell_length_c 6.545
_cell_angle_alpha 90.00
_cell_angle_beta 90.00
_cell_angle_gamma 90.00
loop_
_atom_site_label
_atom_site_fract_x
_atom_site_fract_y
_atom_site_fract_z
La1 0.000 0.000 0.000
Be1 0.250 0.250 0.750
Ag1 0.000 0.000 0.500
```

---

Relative energy table, unit meV per atom: 1 126; 2 460; 3 0

---

1:
The following is a DFT calculation (PBE) of crystalline BeNbAgPd at its relaxed geometry.

Output
Crystal system: cubic

Structure (CIF):
```
data_BeNbAgPd
_chemical_formula_sum 'Be4 Nb4 Ag4 Pd4'
_space_group_name_H-M_alt 'F -4 3 m'
_space_group_IT_number 216
_space_group_name_Hall 'F -4 2 3'
_cell_length_a 6.208
_cell_length_b 6.208
_cell_length_c 6.208
_cell_angle_alpha 90.00
_cell_angle_beta 90.00
_cell_angle_gamma 90.00
loop_
_atom_site_label
_atom_site_fract_x
_atom_site_fract_y
_atom_site_fract_z
Be1 0.000 0.000 0.000
Nb1 0.250 0.250 0.250
Ag1 0.250 0.250 0.750
Pd1 0.000 0.000 0.500
```

---

2:
The following is a DFT calculation (PBE) of crystalline BeNbAgPd at its relaxed geometry.

Output
Crystal system: cubic

Structure (CIF):
```
data_BeNbAgPd
_chemical_formula_sum 'Be4 Nb4 Ag4 Pd4'
_space_group_name_H-M_alt 'F -4 3 m'
_space_group_IT_number 216
_space_group_name_Hall 'F -4 2 3'
_cell_length_a 6.252
_cell_length_b 6.252
_cell_length_c 6.252
_cell_angle_alpha 90.00
_cell_angle_beta 90.00
_cell_angle_gamma 90.00
loop_
_atom_site_label
_atom_site_fract_x
_atom_site_fract_y
_atom_site_fract_z
Be1 0.000 0.000 0.000
Nb1 0.000 0.000 0.500
Ag1 0.250 0.250 0.250
Pd1 0.250 0.250 0.750
```

---

Relative energy table, unit meV per atom: 1 0; 2 51

---

1:
The following is a DFT calculation (PBE) of crystalline BeAgSeO at its relaxed geometry.

Output
Crystal system: orthorhombic

Structure (CIF):
```
data_BeAgSeO
_chemical_formula_sum 'Be4 Ag4 Se4 O4'
_space_group_name_H-M_alt 'P 21 21 21'
_space_group_IT_number 19
_cell_length_a 4.990
_cell_length_b 6.823
_cell_length_c 7.728
_cell_angle_alpha 90.00
_cell_angle_beta 90.00
_cell_angle_gamma 90.00
loop_
_space_group_symop_operation_xyz
'x,y,z'
'-x+1/2,-y,z+1/2'
'x+1/2,-y+1/2,-z'
'-x,y+1/2,-z+1/2'
loop_
_atom_site_label
_atom_site_fract_x
_atom_site_fract_y
_atom_site_fract_z
Be1 0.204 0.169 0.030
Ag1 0.195 0.443 0.663
Se1 0.036 0.880 0.131
O1 0.022 0.756 0.578
```

---

2:
The following is a DFT calculation (PBE) of crystalline BeAgSeO at its relaxed geometry.

Output
Crystal system: tetragonal

Structure (CIF):
```
data_BeAgSeO
_chemical_formula_sum 'Be2 Ag2 Se2 O2'
_space_group_name_H-M_alt 'P 4/n m m'
_space_group_IT_number 129
_cell_length_a 4.817
_cell_length_b 4.817
_cell_length_c 5.880
_cell_angle_alpha 90.00
_cell_angle_beta 90.00
_cell_angle_gamma 90.00
loop_
_space_group_symop_operation_xyz
'x,y,z'
'-x,-y,-z'
'-y+1/2,x,z'
'y+1/2,-x,-z'
'-x+1/2,-y+1/2,z'
'x+1/2,y+1/2,-z'
'y,-x+1/2,z'
'-y,x+1/2,-z'
'x+1/2,-y,-z'
'-x+1/2,y,z'
'-y,-x,-z'
'y,x,z'
'-x,y+1/2,-z'
'x,-y+1/2,z'
'y+1/2,x+1/2,-z'
'-y+1/2,-x+1/2,z'
loop_
_atom_site_label
_atom_site_fract_x
_atom_site_fract_y
_atom_site_fract_z
Be1 0.250 0.250 0.172
Ag1 0.250 0.250 0.763
Se1 0.250 0.750 0.000
O1 0.250 0.250 0.410
```

---

Relative energy table, unit meV per atom: 1 0; 2 610

---

1:
The following is a DFT calculation (PBE) of crystalline BeAgSeO at its relaxed geometry.

Output
Crystal system: orthorhombic

Structure (CIF):
```
data_BeAgSeO
_chemical_formula_sum 'Be4 Ag4 Se4 O4'
_space_group_name_H-M_alt 'P 21 21 21'
_space_group_IT_number 19
_cell_length_a 5.433
_cell_length_b 6.478
_cell_length_c 7.759
_cell_angle_alpha 90.00
_cell_angle_beta 90.00
_cell_angle_gamma 90.00
loop_
_space_group_symop_operation_xyz
'x,y,z'
'-x+1/2,-y,z+1/2'
'x+1/2,-y+1/2,-z'
'-x,y+1/2,-z+1/2'
loop_
_atom_site_label
_atom_site_fract_x
_atom_site_fract_y
_atom_site_fract_z
Be1 0.027 0.164 0.007
Ag1 0.050 0.485 0.782
Se1 0.033 0.792 0.008
O1 0.229 0.738 0.491
```

---

2:
The following is a DFT calculation (PBE) of crystalline BeAgSeO at its relaxed geometry.

Output
Crystal system: orthorhombic

Structure (CIF):
```
data_BeAgSeO
_chemical_formula_sum 'Be4 Ag4 Se4 O4'
_space_group_name_H-M_alt 'P c a 21'
_space_group_IT_number 29
_cell_length_a 6.060
_cell_length_b 6.984
_cell_length_c 5.961
_cell_angle_alpha 90.00
_cell_angle_beta 90.00
_cell_angle_gamma 90.00
loop_
_space_group_symop_operation_xyz
'x,y,z'
'-x,-y,z+1/2'
'-x+1/2,y,z+1/2'
'x+1/2,-y,z'
loop_
_atom_site_label
_atom_site_fract_x
_atom_site_fract_y
_atom_site_fract_z
Be1 0.071 0.163 0.000
Ag1 0.163 0.629 0.905
Se1 0.077 0.115 0.621
O1 0.016 0.644 0.573
```

---

Relative energy table, unit meV per atom: 1 0; 2 356

---

1:
The following is a DFT calculation (PBE) of crystalline TaBeAgPt at its relaxed geometry.

Output
Crystal system: cubic

Structure (CIF):
```
data_TaBeAgPt
_chemical_formula_sum 'Ta4 Be4 Ag4 Pt4'
_space_group_name_H-M_alt 'F -4 3 m'
_space_group_IT_number 216
_space_group_name_Hall 'F -4 2 3'
_cell_length_a 6.196
_cell_length_b 6.196
_cell_length_c 6.196
_cell_angle_alpha 90.00
_cell_angle_beta 90.00
_cell_angle_gamma 90.00
loop_
_atom_site_label
_atom_site_fract_x
_atom_site_fract_y
_atom_site_fract_z
Ta1 0.000 0.000 0.000
Be1 0.250 0.250 0.250
Ag1 0.250 0.250 0.750
Pt1 0.000 0.000 0.500
```

---

2:
The following is a DFT calculation (PBE) of crystalline TaBeAgPt at its relaxed geometry.

Output
Crystal system: cubic

Structure (CIF):
```
data_TaBeAgPt
_chemical_formula_sum 'Ta4 Be4 Ag4 Pt4'
_space_group_name_H-M_alt 'F -4 3 m'
_space_group_IT_number 216
_space_group_name_Hall 'F -4 2 3'
_cell_length_a 6.231
_cell_length_b 6.231
_cell_length_c 6.231
_cell_angle_alpha 90.00
_cell_angle_beta 90.00
_cell_angle_gamma 90.00
loop_
_atom_site_label
_atom_site_fract_x
_atom_site_fract_y
_atom_site_fract_z
Ta1 0.000 0.000 0.000
Be1 0.250 0.250 0.250
Ag1 0.000 0.000 0.500
Pt1 0.250 0.250 0.750
```

---

3:
The following is a DFT calculation (PBE) of crystalline TaBeAgPt at its relaxed geometry.

Output
Crystal system: cubic

Structure (CIF):
```
data_TaBeAgPt
_chemical_formula_sum 'Ta4 Be4 Ag4 Pt4'
_space_group_name_H-M_alt 'F -4 3 m'
_space_group_IT_number 216
_space_group_name_Hall 'F -4 2 3'
_cell_length_a 6.257
_cell_length_b 6.257
_cell_length_c 6.257
_cell_angle_alpha 90.00
_cell_angle_beta 90.00
_cell_angle_gamma 90.00
loop_
_atom_site_label
_atom_site_fract_x
_atom_site_fract_y
_atom_site_fract_z
Ta1 0.000 0.000 0.000
Be1 0.000 0.000 0.500
Ag1 0.250 0.250 0.250
Pt1 0.250 0.250 0.750
```

---

Relative energy table, unit meV per atom: 1 186; 2 7; 3 0

---

1:
The following is a DFT calculation (PBE) of crystalline RbBeAg at its relaxed geometry.

Output
Crystal system: cubic

Structure (CIF):
```
data_RbBeAg
_chemical_formula_sum 'Rb4 Be4 Ag4'
_space_group_name_H-M_alt 'F -4 3 m'
_space_group_IT_number 216
_space_group_name_Hall 'F -4 2 3'
_cell_length_a 7.161
_cell_length_b 7.161
_cell_length_c 7.161
_cell_angle_alpha 90.00
_cell_angle_beta 90.00
_cell_angle_gamma 90.00
loop_
_atom_site_label
_atom_site_fract_x
_atom_site_fract_y
_atom_site_fract_z
Rb1 0.000 0.000 0.000
Be1 0.250 0.250 0.750
Ag1 0.000 0.000 0.500
```

---

2:
The following is a DFT calculation (PBE) of crystalline RbBeAg at its relaxed geometry.

Output
Crystal system: cubic

Structure (CIF):
```
data_RbBeAg
_chemical_formula_sum 'Rb4 Be4 Ag4'
_space_group_name_H-M_alt 'F -4 3 m'
_space_group_IT_number 216
_space_group_name_Hall 'F -4 2 3'
_cell_length_a 7.272
_cell_length_b 7.272
_cell_length_c 7.272
_cell_angle_alpha 90.00
_cell_angle_beta 90.00
_cell_angle_gamma 90.00
loop_
_atom_site_label
_atom_site_fract_x
_atom_site_fract_y
_atom_site_fract_z
Rb1 0.000 0.000 0.000
Be1 0.000 0.000 0.500
Ag1 0.250 0.250 0.750
```

---

Relative energy table, unit meV per atom: 1 0; 2 30